A crystal of LiRe2Se relaxed with PBEsol, computed with SCAN.

a b c (Å): 2.8317 4.1629 5.0263
angles (deg): 90.00 90.00 90.00
Atoms (fractional coordinates):
Li  0.0000  0.0000  0.0000
Re  0.5000  0.5000  0.2336
Re  0.5000  0.5000  0.7664
Se  0.0000  0.0000  0.5000

The calculation puts the raw formation energy at 0.770 eV/atom. The value obtained for the density of states at the Fermi level is 3.2 states/eV/f.u. As for the symmetry: Pmmm, No. 47. As for the total energy: -40.40 eV/atom. Its crystal system is orthorhombic.



A crystal of YAuCl relaxed with PBEsol, computed with SCAN.

a b c (Å): 3.7825 3.7825 6.3808
angles (deg): 90.00 90.00 120.00
Atoms (fractional coordinates):
Y  0.0000  0.0000  0.0000
Au  0.3333  0.6667  0.7271
Cl  0.6667  0.3333  0.2648

The calculation puts the raw formation energy at -1.302 eV/atom. The value obtained for the density of states at the Fermi level is 2.9 states/eV/f.u. As for the symmetry: P3m1, No. 156. As for the total energy: -36.29 eV/atom. Its crystal system is trigonal.



A crystal of ZrReBr2 relaxed with PBEsol, computed with SCAN.

a b c (Å): 3.1089 3.1089 8.4832
angles (deg): 90.00 90.00 90.00
Atoms (fractional coordinates):
Zr  0.0000  0.0000  0.0000
Re  0.5000  0.5000  0.7685
Br  0.0000  0.0000  0.5838
Br  0.5000  0.5000  0.2146

The calculation puts the raw formation energy at -0.023 eV/atom. The value obtained for the density of states at the Fermi level is 2.9 states/eV/f.u. As for the symmetry: P4mm, No. 99. As for the total energy: -35.20 eV/atom. Its crystal system is tetragonal.



A crystal of FeAgSb3 relaxed with PBEsol, computed with SCAN.

a b c (Å): 4.8579 4.8579 4.8579
angles (deg): 90.00 90.00 90.00
Atoms (fractional coordinates):
Fe  0.0000  0.0000  0.0000
Ag  0.5000  0.5000  0.5000
Sb  0.0000  0.0000  0.5000
Sb  0.0000  0.5000  0.0000
Sb  0.5000  0.0000  0.0000

The calculation puts the raw formation energy at 0.549 eV/atom. The value obtained for the density of states at the Fermi level is 1.9 states/eV/f.u. As for the symmetry: Pm-3m, No. 221. As for the total energy: -31.71 eV/atom. Its crystal system is cubic.



A crystal of TlTc2Pt relaxed with PBEsol, computed with SCAN.

a b c (Å): 2.8531 2.8531 7.9079
angles (deg): 90.00 90.00 90.00
Atoms (fractional coordinates):
Tl  0.0000  0.0000  0.0000
Tc  0.0000  0.0000  0.5236
Tc  0.5000  0.5000  0.7242
Pt  0.5000  0.5000  0.2799

The energy relative to the elements is 0.18 eV/atom. The value obtained for the density of states at the Fermi level is 1.9 states/eV/f.u. As for the symmetry: P4mm, No. 99. As for the total energy: -52.99 eV/atom. Its crystal system is tetragonal.



A crystal of Y2RhW relaxed with PBEsol, computed with SCAN.

a b c (Å): 4.8415 4.8415 4.8415
angles (deg): 60.00 60.00 60.00
Atoms (fractional coordinates):
Y  0.2500  0.2500  0.2500
Y  0.7500  0.7500  0.7500
Rh  0.0000  0.0000  0.0000
W  0.5000  0.5000  0.5000

The energy relative to the elements is 0.18 eV/atom. The value obtained for the density of states at the Fermi level is 5.1 states/eV/f.u. As for the symmetry: Fm-3m, No. 225. As for the total energy: -39.61 eV/atom. Its crystal system is cubic.



A crystal of Ca2PtPb relaxed with PBEsol, computed with SCAN.

a b c (Å): 5.3109 5.3109 5.3109
angles (deg): 126.29 126.04 79.62
Atoms (fractional coordinates):
Ca  0.2493  0.2493  0.0000
Ca  0.7507  0.7507  0.0000
Pt  0.0000  0.5000  0.5000
Pb  0.5000  0.0000  0.5000

The energy relative to the elements is -0.76 eV/atom. The value obtained for the density of states at the Fermi level is 1.7 states/eV/f.u. As for the symmetry: Immm, No. 71. As for the total energy: -42.08 eV/atom. Its crystal system is orthorhombic.



A crystal of TcBr2F relaxed with PBEsol, computed with SCAN.

a b c (Å): 4.3553 4.3553 4.3553
angles (deg): 60.00 60.00 60.00
Atoms (fractional coordinates):
Tc  0.0000  0.0000  0.0000
Br  0.2500  0.2500  0.2500
Br  0.7500  0.7500  0.7500
F  0.5000  0.5000  0.5000

The calculation puts the raw formation energy at -0.088 eV/atom. As for the symmetry: Fm-3m, No. 225. As for the total energy: -19.47 eV/atom. Its crystal system is cubic.



A crystal of SrCaAl2Tl relaxed with PBEsol, computed with SCAN.

a b c (Å): 5.6676 5.6676 5.7963
angles (deg): 90.00 90.00 90.00
Atoms (fractional coordinates):
Sr  0.0000  0.0000  0.0000
Ca  0.5000  0.5000  0.5000
Al  0.0000  0.5000  0.0000
Al  0.5000  0.0000  0.0000
Tl  0.0000  0.0000  0.5000

The energy relative to the elements is 0.79 eV/atom. The value obtained for the density of states at the Fermi level is 4.3 states/eV/f.u. As for the symmetry: P4/mmm, No. 123. As for the total energy: -23.17 eV/atom. Its crystal system is tetragonal.



A crystal of YMgPb2 relaxed with PBEsol, computed with SCAN.

a b c (Å): 4.8570 4.8570 4.3623
angles (deg): 90.00 90.00 90.00
Atoms (fractional coordinates):
Y  0.0000  0.0000  0.0000
Mg  0.5000  0.5000  0.0000
Pb  0.0000  0.5000  0.5000
Pb  0.5000  0.0000  0.5000

The energy relative to the elements is -0.54 eV/atom. The value obtained for the density of states at the Fermi level is 1.6 states/eV/f.u. As for the symmetry: P4/mmm, No. 123. As for the total energy: -46.63 eV/atom. Its crystal system is tetragonal.



A crystal of KZrB2 relaxed with PBEsol, computed with SCAN.

a b c (Å): 4.4598 4.4598 4.4598
angles (deg): 60.00 60.00 60.00
Atoms (fractional coordinates):
K  0.0000  0.0000  0.0000
Zr  0.5000  0.5000  0.5000
B  0.2500  0.2500  0.2500
B  0.7500  0.7500  0.7500

The energy relative to the elements is 1.36 eV/atom. The value obtained for the density of states at the Fermi level is 3.0 states/eV/f.u. As for the symmetry: Fm-3m, No. 225. As for the total energy: -12.11 eV/atom. Its crystal system is cubic.



A crystal of K2LaW relaxed with PBEsol, computed with SCAN.

a b c (Å): 5.6356 5.6356 5.6356
angles (deg): 60.00 60.00 60.00
Atoms (fractional coordinates):
K  0.2500  0.2500  0.2500
K  0.7500  0.7500  0.7500
La  0.0000  0.0000  0.0000
W  0.5000  0.5000  0.5000

The energy relative to the elements is 1.82 eV/atom. The value obtained for the density of states at the Fermi level is 4.0 states/eV/f.u. As for the symmetry: Fm-3m, No. 225. As for the total energy: -30.54 eV/atom. Its crystal system is cubic.



A crystal of Zr3Tl5 relaxed with PBEsol, computed with SCAN.

a b c (Å): 6.4171 6.4171 4.3599
angles (deg): 90.00 90.00 90.29
Atoms (fractional coordinates):
Zr  0.0000  0.0000  0.0000
Zr  0.2627  0.2627  0.5000
Zr  0.7373  0.7373  0.5000
Tl  0.0000  0.5000  0.0000
Tl  0.2321  0.7679  0.5000
Tl  0.5000  0.0000  0.0000
Tl  0.5000  0.5000  0.0000
Tl  0.7679  0.2321  0.5000

The energy relative to the elements is -0.12 eV/atom. The value obtained for the density of states at the Fermi level is 4.0 states/eV/f.u. As for the symmetry: Cmmm, No. 65. As for the total energy: -56.86 eV/atom. Its crystal system is orthorhombic.



A crystal of ZrNi2Ir relaxed with PBEsol, computed with SCAN.

a b c (Å): 8.8444 8.8444 8.8444
angles (deg): 17.65 17.65 17.65
Atoms (fractional coordinates):
Zr  0.0000  0.0000  0.0000
Ni  0.2448  0.2448  0.2448
Ni  0.7552  0.7552  0.7552
Ir  0.5000  0.5000  0.5000

The energy relative to the elements is 0.20 eV/atom. The value obtained for the density of states at the Fermi level is 5.1 states/eV/f.u. As for the symmetry: R-3m, No. 166. As for the total energy: -33.33 eV/atom. Its crystal system is trigonal.



A crystal of BaLa2Pb relaxed with PBEsol, computed with SCAN.

a b c (Å): 12.0574 12.0574 12.0574
angles (deg): 17.82 17.82 17.82
Atoms (fractional coordinates):
Ba  0.0000  0.0000  0.0000
La  0.2414  0.2414  0.2414
La  0.7586  0.7586  0.7586
Pb  0.5000  0.5000  0.5000

The energy relative to the elements is -0.10 eV/atom. The value obtained for the density of states at the Fermi level is 6.0 states/eV/f.u. As for the symmetry: R-3m, No. 166. As for the total energy: -50.48 eV/atom. Its crystal system is trigonal.



A crystal of K2ReP relaxed with PBEsol, computed with SCAN.

a b c (Å): 8.9242 8.9242 8.9242
angles (deg): 93.62 93.62 150.90
Atoms (fractional coordinates):
K  0.3750  0.1771  0.3021
K  0.8229  0.1250  0.1979
K  0.8750  0.0729  0.6979
K  0.9271  0.6250  0.8021
Re  0.2500  0.7500  0.5000
Re  0.5000  0.5000  0.0000
P  0.0000  0.0000  0.0000
P  0.7500  0.2500  0.5000

The energy relative to the elements is 0.54 eV/atom. The value obtained for the density of states at the Fermi level is 3.6 states/eV/f.u. As for the symmetry: I-42d, No. 122. As for the total energy: -24.00 eV/atom. Its crystal system is tetragonal.



A crystal of Mn2InTe relaxed with PBEsol, computed with SCAN.

a b c (Å): 3.2080 3.2080 6.6984
angles (deg): 90.00 90.00 90.00
Atoms (fractional coordinates):
Mn  0.0000  0.0000  0.2331
Mn  0.0000  0.0000  0.7669
In  0.5000  0.5000  0.5000
Te  0.5000  0.5000  0.0000

The calculation puts the raw formation energy at 0.137 eV/atom. The value obtained for the density of states at the Fermi level is 2.8 states/eV/f.u. As for the symmetry: P4/mmm, No. 123. As for the total energy: -26.65 eV/atom. Its crystal system is tetragonal.



A crystal of YMg2Fe relaxed with PBEsol, computed with SCAN.

a b c (Å): 3.3287 3.3287 7.3566
angles (deg): 90.00 90.00 90.00
Atoms (fractional coordinates):
Y  0.0000  0.0000  0.0000
Mg  0.5000  0.5000  0.3062
Mg  0.5000  0.5000  0.6938
Fe  0.0000  0.0000  0.5000

The energy relative to the elements is 0.17 eV/atom. The value obtained for the density of states at the Fermi level is 3.3 states/eV/f.u. As for the symmetry: P4/mmm, No. 123. As for the total energy: -13.81 eV/atom. Its crystal system is tetragonal.



A crystal of B2RhAu relaxed with PBEsol, computed with SCAN.

a b c (Å): 3.9312 3.9312 3.9312
angles (deg): 60.00 60.00 60.00
Atoms (fractional coordinates):
B  0.2500  0.2500  0.2500
B  0.7500  0.7500  0.7500
Rh  0.0000  0.0000  0.0000
Au  0.5000  0.5000  0.5000

The energy relative to the elements is 0.81 eV/atom. The value obtained for the density of states at the Fermi level is 2.4 states/eV/f.u. As for the symmetry: Fm-3m, No. 225. As for the total energy: -28.64 eV/atom. Its crystal system is cubic.



A crystal of HfIr2Pb2 relaxed with PBEsol, computed with SCAN.

a b c (Å): 7.0334 7.0334 7.0334
angles (deg): 146.58 146.58 47.99
Atoms (fractional coordinates):
Hf  0.0000  0.0000  0.0000
Ir  0.4060  0.4060  0.0000
Ir  0.5940  0.5940  0.0000
Pb  0.2500  0.7500  0.5000
Pb  0.7500  0.2500  0.5000

The energy relative to the elements is 0.31 eV/atom. The value obtained for the density of states at the Fermi level is 2.5 states/eV/f.u. As for the symmetry: I4/mmm, No. 139. As for the total energy: -70.98 eV/atom. Its crystal system is tetragonal.